(1)
# Ac3La12Dy GGA-PBE optimized geometry
# Mass density in g/cm3: 6.9
# Energy relative to the elements in eV per atom: 0.014
# Calculated total energy in eV/atom: -4.74
# D(E_F) in states/eV/atom: 1.84
data_Ac3La12Dy
_chemical_formula_sum 'Ac3 La12 Dy1'
_cell_length_a 5.329
_cell_length_b 5.329
_cell_length_c 21.253
_cell_angle_alpha 90.00
_cell_angle_beta 90.00
_cell_angle_gamma 90.00
_symmetry_space_group_name_H-M 'P 4/m m m'
_symmetry_Int_Tables_number 123
_symmetry_space_group_name_Hall '-P 4 2'
loop_
_atom_site_label
_atom_site_type_symbol
_atom_site_fract_x
_atom_site_fract_y
_atom_site_fract_z
_atom_site_occupancy
Ac1 Ac 0.000 0.000 0.000 1
Ac2 Ac 0.000 0.000 0.253 1
La1 La 0.000 0.500 0.126 1
La2 La 0.000 0.500 0.380 1
La3 La 0.500 0.500 0.000 1
La4 La 0.500 0.500 0.254 1
La5 La 0.500 0.500 0.500 1
Dy1 Dy 0.000 0.000 0.500 1

---

(2)
# Ce3Mg2Tl6 GGA-PBE optimized geometry
# Mass density in g/cm3: 8.9
# Energy relative to the elements in eV per atom: -0.078
# Calculated total energy in eV/atom: -3.28
# D(E_F) in states/eV/atom: 2.13
data_Ce3Mg2Tl6
_chemical_formula_sum 'Ce6 Mg4 Tl12'
_cell_length_a 4.752
_cell_length_b 4.752
_cell_length_c 28.001
_cell_angle_alpha 90.00
_cell_angle_beta 90.00
_cell_angle_gamma 90.00
_symmetry_space_group_name_H-M 'I 4/m m m'
_symmetry_Int_Tables_number 139
_symmetry_space_group_name_Hall '-I 4 2'
loop_
_atom_site_label
_atom_site_type_symbol
_atom_site_fract_x
_atom_site_fract_y
_atom_site_fract_z
_atom_site_occupancy
Ce1 Ce 0.000 0.000 0.000 1
Ce2 Ce 0.000 0.000 0.194 1
Mg1 Mg 0.000 0.000 0.452 1
Tl1 Tl 0.000 0.000 0.307 1
Tl2 Tl 0.000 0.500 0.107 1

---

(3)
# Ba2SmP2Cl2 GGA-PBE optimized geometry
# Mass density in g/cm3: 3.9
# Calculated total energy in eV/atom: -4.86
# D(E_F) in states/eV/atom: 0.55
data_Ba2SmP2Cl2
_chemical_formula_sum 'Ba4 Sm2 P4 Cl4'
_cell_length_a 5.446
_cell_length_b 5.446
_cell_length_c 16.006
_cell_angle_alpha 90.00
_cell_angle_beta 90.00
_cell_angle_gamma 90.00
_symmetry_space_group_name_H-M 'I 4/m m m'
_symmetry_Int_Tables_number 139
_symmetry_space_group_name_Hall '-I 4 2'
loop_
_atom_site_label
_atom_site_type_symbol
_atom_site_fract_x
_atom_site_fract_y
_atom_site_fract_z
_atom_site_occupancy
Ba1 Ba 0.000 0.000 0.124 1
Sm1 Sm 0.000 0.000 0.500 1
P1 P 0.000 0.500 0.000 1
Cl1 Cl 0.000 0.000 0.318 1

---

(4)
# BaAcLa2 GGA-PBE optimized geometry
# Mass density in g/cm3: 6.2
# Energy relative to the elements in eV per atom: 0.143
# Calculated total energy in eV/atom: -3.83
# D(E_F) in states/eV/atom: 1.97
data_BaAcLa2
_chemical_formula_sum 'Ba1 Ac1 La2'
_cell_length_a 5.567
_cell_length_b 5.567
_cell_length_c 5.514
_cell_angle_alpha 90.00
_cell_angle_beta 90.00
_cell_angle_gamma 90.00
_symmetry_space_group_name_H-M 'P 4/m m m'
_symmetry_Int_Tables_number 123
_symmetry_space_group_name_Hall '-P 4 2'
loop_
_atom_site_label
_atom_site_type_symbol
_atom_site_fract_x
_atom_site_fract_y
_atom_site_fract_z
_atom_site_occupancy
Ba1 Ba 0.000 0.000 0.000 1
Ac1 Ac 0.500 0.500 0.000 1
La1 La 0.000 0.500 0.500 1

---

(5)
# LiTiSiO4 GGA-PBE optimized geometry
# Mass density in g/cm3: 3.3
# Calculated total energy in eV/atom: -7.67
# D(E_F) in states/eV/atom: 0.33
data_LiTiSiO4
_chemical_formula_sum 'Li4 Ti4 Si4 O16'
_cell_length_a 4.792
_cell_length_b 5.922
_cell_length_c 10.359
_cell_angle_alpha 90.00
_cell_angle_beta 90.00
_cell_angle_gamma 90.00
_symmetry_space_group_name_H-M 'P 21 21 21'
_symmetry_Int_Tables_number 19
_symmetry_space_group_name_Hall 'P 2ac 2ab'
loop_
_atom_site_label
_atom_site_type_symbol
_atom_site_fract_x
_atom_site_fract_y
_atom_site_fract_z
_atom_site_occupancy
Li1 Li 0.000 0.249 0.249 1
Ti1 Ti 0.003 0.000 0.525 1
Si1 Si 0.056 0.500 0.656 1
O1 O 0.190 0.500 0.801 1
O2 O 0.208 0.286 0.576 1
O3 O 0.208 0.714 0.576 1
O4 O 0.218 0.000 0.349 1

---

(6)
# CoNi GGA-PBE optimized geometry
# Mass density in g/cm3: 8.8
# Energy relative to the elements in eV per atom: 0.167
# Calculated total energy in eV/atom: -6.28
# D(E_F) in states/eV/atom: 2.13
data_CoNi
_chemical_formula_sum 'Co1 Ni1'
_cell_length_a 2.809
_cell_length_b 2.809
_cell_length_c 2.809
_cell_angle_alpha 90.00
_cell_angle_beta 90.00
_cell_angle_gamma 90.00
_symmetry_space_group_name_H-M 'P m -3 m'
_symmetry_Int_Tables_number 221
_symmetry_space_group_name_Hall '-P 4 2 3'
loop_
_atom_site_label
_atom_site_type_symbol
_atom_site_fract_x
_atom_site_fract_y
_atom_site_fract_z
_atom_site_occupancy
Co1 Co 0.000 0.000 0.000 1
Ni1 Ni 0.500 0.500 0.500 1

---

(7)
# BaNbIO2 GGA-PBE optimized geometry
# Mass density in g/cm3: 6.0
# Calculated total energy in eV/atom: -6.07
# D(E_F) in states/eV/atom: 0.60
data_BaNbIO2
_chemical_formula_sum 'Ba1 Nb1 I1 O2'
_cell_length_a 4.360
_cell_length_b 4.360
_cell_length_c 5.656
_cell_angle_alpha 90.00
_cell_angle_beta 90.00
_cell_angle_gamma 90.00
_symmetry_space_group_name_H-M 'P 4/m m m'
_symmetry_Int_Tables_number 123
_symmetry_space_group_name_Hall '-P 4 2'
loop_
_atom_site_label
_atom_site_type_symbol
_atom_site_fract_x
_atom_site_fract_y
_atom_site_fract_z
_atom_site_occupancy
Ba1 Ba 0.000 0.000 0.000 1
Nb1 Nb 0.500 0.500 0.500 1
I1 I 0.500 0.500 0.000 1
O1 O 0.000 0.500 0.500 1

---

(8)
# SrSiAu6 GGA-PBE optimized geometry
# Mass density in g/cm3: 12.1
# Calculated total energy in eV/atom: -3.65
# D(E_F) in states/eV/atom: 0.32
data_SrSiAu6
_chemical_formula_sum 'Sr3 Si3 Au18'
_cell_length_a 6.7900
_cell_length_b 6.7900
_cell_length_c 13.3560
_cell_angle_alpha 90.00
_cell_angle_beta 90.00
_cell_angle_gamma 120.00
_symmetry_space_group_name_H-M 'R -3 m'
_symmetry_Int_Tables_number 166
_symmetry_space_group_name_Hall '-R 3 2"'
loop_
_atom_site_label
_atom_site_type_symbol
_atom_site_fract_x
_atom_site_fract_y
_atom_site_fract_z
_atom_site_occupancy
Sr1 Sr 0.0000 0.0000 0.0000 1
Si1 Si 0.0000 0.0000 0.5000 1
Au1 Au 0.0614 0.5307 0.8988 1

---

(9)
# TbZn11Fe GGA-PBE optimized geometry
# Mass density in g/cm3: 7.7
# Energy relative to the elements in eV per atom: -0.145
# Calculated total energy in eV/atom: -2.23
# D(E_F) in states/eV/atom: 0.52
data_TbZn11Fe
_chemical_formula_sum 'Tb2 Zn22 Fe2'
_cell_length_a 5.169
_cell_length_b 12.524
_cell_length_c 6.757
_cell_angle_alpha 90.00
_cell_angle_beta 112.45
_cell_angle_gamma 90.00
_symmetry_space_group_name_H-M 'C 1 2/m 1'
_symmetry_Int_Tables_number 12
_symmetry_space_group_name_Hall '-C 2y'
loop_
_atom_site_label
_atom_site_type_symbol
_atom_site_fract_x
_atom_site_fract_y
_atom_site_fract_z
_atom_site_occupancy
Tb1 Tb 0.000 0.000 0.000 1
Zn1 Zn 0.000 0.500 0.500 1
Zn2 Zn 0.116 0.392 0.220 1
Zn3 Zn 0.160 0.172 0.357 1
Zn4 Zn 0.250 0.250 0.000 1
Fe1 Fe 0.000 0.000 0.500 1

---

(10)
# CaIn2Tc GGA-PBE optimized geometry
# Mass density in g/cm3: 7.0
# Energy relative to the elements in eV per atom: 0.018
# Calculated total energy in eV/atom: -4.44
# D(E_F) in states/eV/atom: 0.86
data_CaIn2Tc
_chemical_formula_sum 'Ca1 In2 Tc1'
_cell_length_a 3.503
_cell_length_b 3.503
_cell_length_c 7.139
_cell_angle_alpha 90.00
_cell_angle_beta 90.00
_cell_angle_gamma 90.00
_symmetry_space_group_name_H-M 'P 4/m m m'
_symmetry_Int_Tables_number 123
_symmetry_space_group_name_Hall '-P 4 2'
loop_
_atom_site_label
_atom_site_type_symbol
_atom_site_fract_x
_atom_site_fract_y
_atom_site_fract_z
_atom_site_occupancy
Ca1 Ca 0.000 0.000 0.000 1
In1 In 0.500 0.500 0.296 1
Tc1 Tc 0.000 0.000 0.500 1

---

(11)
# NbPdN2O GGA-PBE optimized geometry
# Mass density in g/cm3: 6.0
# Calculated total energy in eV/atom: -7.20
# D(E_F) in states/eV/atom: 0.92
data_NbPdN2O
_chemical_formula_sum 'Nb1 Pd1 N2 O1'
_cell_length_a 4.137
_cell_length_b 4.137
_cell_length_c 3.920
_cell_angle_alpha 90.00
_cell_angle_beta 90.00
_cell_angle_gamma 90.00
_symmetry_space_group_name_H-M 'P 4/m m m'
_symmetry_Int_Tables_number 123
_symmetry_space_group_name_Hall '-P 4 2'
loop_
_atom_site_label
_atom_site_type_symbol
_atom_site_fract_x
_atom_site_fract_y
_atom_site_fract_z
_atom_site_occupancy
Nb1 Nb 0.000 0.000 0.000 1
Pd1 Pd 0.500 0.500 0.500 1
N1 N 0.000 0.500 0.000 1
O1 O 0.000 0.000 0.500 1

---

(12)
# MnPCl GGA-PBE optimized geometry
# Mass density in g/cm3: 3.4
# Calculated total energy in eV/atom: -5.53
# D(E_F) in states/eV/atom: 0.40
data_MnPCl
_chemical_formula_sum 'Mn2 P2 Cl2'
_cell_length_a 3.002
_cell_length_b 3.002
_cell_length_c 13.005
_cell_angle_alpha 90.00
_cell_angle_beta 90.00
_cell_angle_gamma 90.00
_symmetry_space_group_name_H-M 'I 4 m m'
_symmetry_Int_Tables_number 107
_symmetry_space_group_name_Hall 'I 4 -2'
loop_
_atom_site_label
_atom_site_type_symbol
_atom_site_fract_x
_atom_site_fract_y
_atom_site_fract_z
_atom_site_occupancy
Mn1 Mn 0.000 0.000 0.000 1
P1 P 0.000 0.000 0.601 1
Cl1 Cl 0.000 0.000 0.373 1